1.
Here is a geometry-optimized Ca2AgHPb structure from the Alexandria database. Energies are from PBE-GGA.

CIF file:
```
data_Ca2AgHPb
_chemical_formula_sum 'Ca2 Ag1 H1 Pb1'
_symmetry_space_group_name_H-M 'P 4/m m m'
_symmetry_Int_Tables_number 123
_symmetry_space_group_name_Hall '-P 4 2'
_cell_length_a 5.099
_cell_length_b 5.099
_cell_length_c 4.200
_cell_angle_alpha 90.00
_cell_angle_beta 90.00
_cell_angle_gamma 90.00
loop_
_atom_site_label
_atom_site_type_symbol
_atom_site_fract_x
_atom_site_fract_y
_atom_site_fract_z
Ca1 Ca 0.000 0.500 0.000
Ag1 Ag 0.000 0.000 0.500
H1 H 0.000 0.000 0.000
Pb1 Pb 0.500 0.500 0.500
```

Output
* raw total energy: -3.1815 eV per atom
* volume: 21.84 A^3/atom



2.
Here is a geometry-optimized BaTa2Mo structure from the Alexandria database. Energies are from PBE-GGA.

CIF file:
```
data_BaTa2Mo
_chemical_formula_sum 'Ba1 Ta2 Mo1'
_symmetry_space_group_name_H-M 'P 1 m 1'
_symmetry_Int_Tables_number 6
_cell_length_a 3.077
_cell_length_b 4.368
_cell_length_c 7.421
_cell_angle_alpha 90.00
_cell_angle_beta 93.57
_cell_angle_gamma 90.00
loop_
_symmetry_equiv_pos_as_xyz
'x,y,z'
'x,-y,z'
loop_
_atom_site_label
_atom_site_type_symbol
_atom_site_fract_x
_atom_site_fract_y
_atom_site_fract_z
Ba1 Ba 0.000 0.000 0.000
Ta1 Ta 0.375 0.000 0.517
Ta2 Ta 0.913 0.500 0.353
Mo1 Mo 0.734 0.500 0.668
```

Output
* energy above the lowest structure with this stoichiometry: 46 kJ/mol of formula units
* raw total energy: -8.4602 eV per atom
* volume: 24.89 A^3/atom



3.
Here is a geometry-optimized AlFeIr structure from the Alexandria database. Energies are from PBE-GGA.

CIF file:
```
data_AlFeIr
_chemical_formula_sum 'Al4 Fe4 Ir4'
_symmetry_space_group_name_H-M 'F m m 2'
_symmetry_Int_Tables_number 42
_symmetry_space_group_name_Hall 'F 2 -2'
_cell_length_a 2.891
_cell_length_b 4.587
_cell_length_c 12.467
_cell_angle_alpha 90.00
_cell_angle_beta 90.00
_cell_angle_gamma 90.00
loop_
_atom_site_label
_atom_site_type_symbol
_atom_site_fract_x
_atom_site_fract_y
_atom_site_fract_z
Al1 Al 0.000 0.000 0.000
Fe1 Fe 0.000 0.000 0.338
Ir1 Ir 0.000 0.000 0.666
```

Output
* raw total energy: -7.1770 eV per atom
* volume: 13.78 A^3/atom



| no. | mass density (g/cm3) |
| --- | --- |
| 1 | 6.03 |
| 2 | 9.93 |
| 3 | 11.05 |